The following is a PBE calculation of Rb2AuBr7 after structural relaxation, from Alexandria via LeMat-Bulk.

```
data_Rb2AuBr7
_chemical_formula_sum 'Rb2 Au1 Br7'
_cell_length_a 8.1471
_cell_length_b 8.1471
_cell_length_c 8.1471
_cell_angle_alpha 120.17
_cell_angle_beta 120.17
_cell_angle_gamma 89.70
_space_group_name_H-M_alt 'P 1'
_space_group_IT_number 1
_space_group_name_Hall 'P 1'
loop_
_atom_site_label
_atom_site_fract_x
_atom_site_fract_y
_atom_site_fract_z
Rb1 0.2500 0.7500 0.5000
Rb2 0.7500 0.2500 0.5000
Au1 0.0000 0.0000 0.0000
Br1 0.2169 0.2169 0.4339
Br2 0.2169 0.7831 0.0000
Br3 0.2769 0.2769 0.0000
Br4 0.5000 0.5000 0.0000
Br5 0.7231 0.7231 0.0000
Br6 0.7831 0.2169 0.0000
Br7 0.7831 0.7831 0.5661
```

Values from the calculation:
* V: 38.1 Å³/atom
* space-group type: I4/mmm (139)
* theoretical density: 4.04 g/cm³
* E_form (uncorrected): -784 meV/atom

The following is a PBE calculation of ScRuIN2 after structural relaxation, from Alexandria via LeMat-Bulk.

```
data_ScRuIN2
_chemical_formula_sum 'Sc1 Ru1 I1 N2'
_cell_length_a 3.9444
_cell_length_b 3.9444
_cell_length_c 5.5241
_cell_angle_alpha 90.00
_cell_angle_beta 90.00
_cell_angle_gamma 90.00
_space_group_name_H-M_alt 'P 1'
_space_group_IT_number 1
_space_group_name_Hall 'P 1'
loop_
_atom_site_label
_atom_site_fract_x
_atom_site_fract_y
_atom_site_fract_z
Sc1 0.0000 0.0000 0.0000
Ru1 0.5000 0.5000 0.5000
I1 0.5000 0.5000 0.0000
N1 0.0000 0.5000 0.5000
N2 0.5000 0.0000 0.5000
```

Values from the calculation:
* V: 17.2 Å³/atom
* ΔE to the lowest computed polymorph: 0.000 eV per atom
* space-group type: P4/mmm (123)
* theoretical density: 5.81 g/cm³
* E_form (uncorrected): 685 meV/atom

The following is a PBE calculation of Cs2KHgCl5 after structural relaxation, from Alexandria via LeMat-Bulk.

```
data_Cs2KHgCl5
_chemical_formula_sum 'Cs4 K2 Hg2 Cl10'
_cell_length_a 9.7115
_cell_length_b 9.7115
_cell_length_c 14.7588
_cell_angle_alpha 90.00
_cell_angle_beta 90.00
_cell_angle_gamma 152.08
_space_group_name_H-M_alt 'P 1'
_space_group_IT_number 1
_space_group_name_Hall 'P 1'
loop_
_atom_site_label
_atom_site_fract_x
_atom_site_fract_y
_atom_site_fract_z
Cs1 0.1034 0.8966 0.5000
Cs2 0.1572 0.8428 0.1235
Cs3 0.8428 0.1572 0.6235
Cs4 0.8966 0.1034 0.0000
K1 0.2052 0.7948 0.8355
K2 0.7948 0.2052 0.3355
Hg1 0.4818 0.5182 0.2491
Hg2 0.5182 0.4818 0.7491
Cl1 0.0372 0.9628 0.8347
Cl2 0.2798 0.7202 0.4720
Cl3 0.3447 0.6553 0.1965
Cl4 0.3821 0.6179 0.8079
Cl5 0.4787 0.5213 0.5824
Cl6 0.5213 0.4787 0.0824
Cl7 0.6179 0.3821 0.3079
Cl8 0.6553 0.3447 0.6965
Cl9 0.7202 0.2798 0.9720
Cl10 0.9628 0.0372 0.3347
```

Values from the calculation:
* V: 36.2 Å³/atom
* space-group type: Cmc2_1 (36)
* theoretical density: 3.48 g/cm³
* E_form (uncorrected): -1519 meV/atom

The following is a PBE calculation of YRe2Pb after structural relaxation, from Alexandria via LeMat-Bulk.

```
data_YRe2Pb
_chemical_formula_sum 'Y1 Re2 Pb1'
_cell_length_a 3.1669
_cell_length_b 4.7788
_cell_length_c 5.7791
_cell_angle_alpha 90.00
_cell_angle_beta 95.99
_cell_angle_gamma 90.00
_space_group_name_H-M_alt 'P 1'
_space_group_IT_number 1
_space_group_name_Hall 'P 1'
loop_
_atom_site_label
_atom_site_fract_x
_atom_site_fract_y
_atom_site_fract_z
Y1 0.0000 0.0000 0.0000
Re1 0.4435 0.5000 0.7995
Re2 0.5565 0.5000 0.2005
Pb1 0.5000 0.0000 0.5000
```

Values from the calculation:
* V: 21.7 Å³/atom
* space-group type: P2/m (10)
* ΔE_f: 0.5521 eV/atom
* theoretical density: 12.76 g/cm³

The following is a PBE calculation of Pm5Tl2O after structural relaxation, from Alexandria via LeMat-Bulk.

```
data_Pm5Tl2O
_chemical_formula_sum 'Pm20 Tl8 O4'
_cell_length_a 8.8973
_cell_length_b 6.8566
_cell_length_c 14.5355
_cell_angle_alpha 90.00
_cell_angle_beta 90.00
_cell_angle_gamma 90.00
_space_group_name_H-M_alt 'P 1'
_space_group_IT_number 1
_space_group_name_Hall 'P 1'
loop_
_atom_site_label
_atom_site_fract_x
_atom_site_fract_y
_atom_site_fract_z
Pm1 0.0000 0.0000 0.0000
Pm2 0.0000 0.5000 0.0000
Pm3 0.0483 0.2500 0.2076
Pm4 0.1364 0.5015 0.6068
Pm5 0.1364 0.9985 0.6068
Pm6 0.2256 0.7500 0.3810
Pm7 0.2744 0.2500 0.8810
Pm8 0.3636 0.0015 0.1068
Pm9 0.3636 0.4985 0.1068
Pm10 0.4517 0.7500 0.7076
Pm11 0.5000 0.0000 0.5000
Pm12 0.5000 0.5000 0.5000
Pm13 0.5483 0.2500 0.2924
Pm14 0.6364 0.5015 0.8932
Pm15 0.6364 0.9985 0.8932
Pm16 0.7256 0.7500 0.1190
Pm17 0.7744 0.2500 0.6190
Pm18 0.8636 0.0015 0.3932
Pm19 0.8636 0.4985 0.3932
Pm20 0.9517 0.7500 0.7924
Tl1 0.0580 0.7500 0.1947
Tl2 0.2000 0.2500 0.4092
Tl3 0.3000 0.7500 0.9092
Tl4 0.4420 0.2500 0.6947
Tl5 0.5580 0.7500 0.3053
Tl6 0.7000 0.2500 0.0908
Tl7 0.8000 0.7500 0.5908
Tl8 0.9420 0.2500 0.8053
O1 0.1856 0.2500 0.0500
O2 0.3144 0.7500 0.5500
O3 0.6856 0.2500 0.4500
O4 0.8144 0.7500 0.9500
```

Values from the calculation:
* V: 27.7 Å³/atom
* ΔE to the lowest computed polymorph: 0.000 eV per atom
* space-group type: Pnma (62)
* theoretical density: 8.61 g/cm³
* E_form (uncorrected): -859 meV/atom

The following is a PBE calculation of AlCdCl6 after structural relaxation, from Alexandria via LeMat-Bulk.

```
data_AlCdCl6
_chemical_formula_sum 'Al2 Cd2 Cl12'
_cell_length_a 6.2175
_cell_length_b 12.2430
_cell_length_c 6.5258
_cell_angle_alpha 90.00
_cell_angle_beta 112.02
_cell_angle_gamma 90.00
_space_group_name_H-M_alt 'P 1'
_space_group_IT_number 1
_space_group_name_Hall 'P 1'
loop_
_atom_site_label
_atom_site_fract_x
_atom_site_fract_y
_atom_site_fract_z
Al1 0.0000 0.0000 0.0000
Al2 0.5000 0.5000 0.0000
Cd1 0.0000 0.5000 0.5000
Cd2 0.5000 0.0000 0.5000
Cl1 0.1976 0.1346 0.2473
Cl2 0.1976 0.8654 0.2473
Cl3 0.2087 0.5000 0.1653
Cl4 0.2913 0.0000 0.8347
Cl5 0.3024 0.3654 0.7527
Cl6 0.3024 0.6346 0.7527
Cl7 0.6976 0.3654 0.2473
Cl8 0.6976 0.6346 0.2473
Cl9 0.7087 0.0000 0.1653
Cl10 0.7913 0.5000 0.8347
Cl11 0.8024 0.1346 0.7527
Cl12 0.8024 0.8654 0.7527
```

Values from the calculation:
* V: 28.8 Å³/atom
* space-group type: C2/m (12)
* theoretical density: 2.54 g/cm³
* E_form (uncorrected): -1029 meV/atom

The following is a PBE calculation of LaPt2Pb2 after structural relaxation, from Alexandria via LeMat-Bulk.

```
data_LaPt2Pb2
_chemical_formula_sum 'La2 Pt4 Pb4'
_cell_length_a 8.4554
_cell_length_b 8.4554
_cell_length_c 3.3135
_cell_angle_alpha 90.00
_cell_angle_beta 90.00
_cell_angle_gamma 90.00
_space_group_name_H-M_alt 'P 1'
_space_group_IT_number 1
_space_group_name_Hall 'P 1'
loop_
_atom_site_label
_atom_site_fract_x
_atom_site_fract_y
_atom_site_fract_z
La1 0.0000 0.0000 0.0000
La2 0.5000 0.5000 0.0000
Pt1 0.1625 0.3375 0.5000
Pt2 0.3375 0.8375 0.5000
Pt3 0.6625 0.1625 0.5000
Pt4 0.8375 0.6625 0.5000
Pb1 0.1345 0.6345 0.0000
Pb2 0.3655 0.1345 0.0000
Pb3 0.6345 0.8655 0.0000
Pb4 0.8655 0.3655 0.0000
```

Values from the calculation:
* V: 23.7 Å³/atom
* ΔE to the lowest computed polymorph: 0.350 eV per atom
* space-group type: P4/mbm (127)
* ΔE_f: -0.2767 eV/atom
* theoretical density: 13.23 g/cm³

The following is a PBE calculation of Sr2PuInTe5 after structural relaxation, from Alexandria via LeMat-Bulk.

```
data_Sr2PuInTe5
_chemical_formula_sum 'Sr4 Pu2 In2 Te10'
_cell_length_a 10.3116
_cell_length_b 10.3116
_cell_length_c 13.8930
_cell_angle_alpha 90.00
_cell_angle_beta 90.00
_cell_angle_gamma 154.77
_space_group_name_H-M_alt 'P 1'
_space_group_IT_number 1
_space_group_name_Hall 'P 1'
loop_
_atom_site_label
_atom_site_fract_x
_atom_site_fract_y
_atom_site_fract_z
Sr1 0.1189 0.8811 0.5000
Sr2 0.1267 0.8733 0.1405
Sr3 0.8733 0.1267 0.6405
Sr4 0.8811 0.1189 0.0000
Pu1 0.2071 0.7929 0.8391
Pu2 0.7929 0.2071 0.3391
In1 0.4415 0.5585 0.2621
In2 0.5585 0.4415 0.7621
Te1 0.0484 0.9516 0.8851
Te2 0.2926 0.7074 0.4918
Te3 0.3090 0.6910 0.1786
Te4 0.3604 0.6396 0.8230
Te5 0.4973 0.5027 0.5846
Te6 0.5027 0.4973 0.0846
Te7 0.6396 0.3604 0.3230
Te8 0.6910 0.3090 0.6786
Te9 0.7074 0.2926 0.9918
Te10 0.9516 0.0484 0.3851
```

Values from the calculation:
* V: 35.0 Å³/atom
* space-group type: Cmc2_1 (36)
* theoretical density: 6.18 g/cm³
* E_form (uncorrected): -1109 meV/atom

Which formula does entry 2 have?
ScRuIN2